This record from Alexandria via LeMat-Bulk describes an optimized crystal structure of Zn3MoO3. The functional is PBE+U.

a b c (Å): 5.813 5.813 5.813
angles (deg): 90.00 90.00 90.00
Fractional coordinates of all 14 atoms:
Zn1 0.000 0.250 0.500
Zn2 0.000 0.750 0.500
Zn3 0.250 0.500 0.000
Zn4 0.500 0.000 0.250
Zn5 0.500 0.000 0.750
Zn6 0.750 0.500 0.000
Mo1 0.000 0.000 0.000
Mo2 0.500 0.500 0.500
O1 0.000 0.500 0.250
O2 0.000 0.500 0.750
O3 0.250 0.000 0.500
O4 0.500 0.250 0.000
O5 0.500 0.750 0.000
O6 0.750 0.000 0.500

Summary:
Calculated volume   14.032 Å³/atom
SG   Pm-3n (223)
Uncorrected energy   -60.7 eV for the cell shown
Crystal system   cubic